[1]
# Pd PBE-GGA relaxed
data_Pd
_chemical_formula_sum 'Pd3'
_space_group_name_H-M_alt 'R -3 m'
_space_group_IT_number 166
_space_group_name_Hall '-R 3 2"'
_cell_length_a 2.8616
_cell_length_b 2.8616
_cell_length_c 6.3520
_cell_angle_alpha 90.00
_cell_angle_beta 90.00
_cell_angle_gamma 120.00
loop_
_atom_site_label
_atom_site_type_symbol
_atom_site_fract_x
_atom_site_fract_y
_atom_site_fract_z
Pd1 Pd 0.0000 0.0000 0.0000
# **Energy of formation**: 0.04 eV per formula unit


[2]
The following is a PBE-GGA calculation of a geometry-optimized Hf2Sc4Fe3C3 structure, from OQMD.

The structure in CIF format:
```
data_Hf2Sc4Fe3C3
_chemical_formula_sum 'Hf8 Sc16 Fe12 C12'
_space_group_name_H-M_alt 'C 1 2/c 1'
_space_group_IT_number 15
_cell_length_a 9.7625
_cell_length_b 5.6456
_cell_length_c 13.6958
_cell_angle_alpha 90.00
_cell_angle_beta 102.91
_cell_angle_gamma 90.00
loop_
_space_group_symop_operation_xyz
'x,y,z'
'-x,-y,-z'
'-x,y,-z+1/2'
'x,-y,z+1/2'
'x+1/2,y+1/2,z'
'-x+1/2,-y+1/2,-z'
'-x+1/2,y+1/2,-z+1/2'
'x+1/2,-y+1/2,z+1/2'
loop_
_atom_site_label
_atom_site_type_symbol
_atom_site_fract_x
_atom_site_fract_y
_atom_site_fract_z
Hf1 Hf 0.0522 0.0774 0.3984
Sc1 Sc 0.1122 0.4179 0.5914
Sc2 Sc 0.2192 0.4151 0.9078
Fe1 Fe 0.0000 0.2994 0.7500
Fe2 Fe 0.2219 0.1333 0.7503
C1 C 0.0787 0.2330 0.0023
C2 C 0.2500 0.2500 0.5000
```


[3]
# ZnAgMo2 PBE-GGA relaxed
data_ZnAgMo2
_chemical_formula_sum 'Zn4 Ag4 Mo8'
_space_group_name_H-M_alt 'F -4 3 m'
_space_group_IT_number 216
_space_group_name_Hall 'F -4 2 3'
_cell_length_a 6.3521
_cell_length_b 6.3521
_cell_length_c 6.3521
_cell_angle_alpha 90.00
_cell_angle_beta 90.00
_cell_angle_gamma 90.00
loop_
_atom_site_label
_atom_site_type_symbol
_atom_site_fract_x
_atom_site_fract_y
_atom_site_fract_z
Zn1 Zn 0.0000 0.0000 0.0000
Ag1 Ag 0.2500 0.2500 0.2500
Mo1 Mo 0.0000 0.0000 0.5000
Mo2 Mo 0.2500 0.2500 0.7500
# **Energy of formation**: 1.93 eV per formula unit


[4]
The following is a PBE-GGA calculation of a geometry-optimized RbCoAgTeSe2 structure, from OQMD.

The structure in CIF format:
```
data_RbCoAgTeSe2
_chemical_formula_sum 'Rb4 Co4 Ag4 Te4 Se8'
_space_group_name_H-M_alt 'C m c m'
_space_group_IT_number 63
_space_group_name_Hall '-C 2c 2'
_cell_length_a 3.6405
_cell_length_b 16.7206
_cell_length_c 10.4577
_cell_angle_alpha 90.00
_cell_angle_beta 90.00
_cell_angle_gamma 90.00
loop_
_atom_site_label
_atom_site_type_symbol
_atom_site_fract_x
_atom_site_fract_y
_atom_site_fract_z
Rb1 Rb 0.0000 0.2488 0.2500
Co1 Co 0.0000 0.5000 0.0000
Ag1 Ag 0.0000 0.0750 0.7500
Te1 Te 0.0000 0.4429 0.7500
Se1 Se 0.0000 0.0971 0.5118
```


[5]
The following is a PBE-GGA calculation of a geometry-optimized Y3Ho3Te2Ir structure, from OQMD.

The structure in CIF format:
```
data_Y3Ho3Te2Ir
_chemical_formula_sum 'Y3 Ho3 Te2 Ir1'
_space_group_name_H-M_alt 'P -6 2 m'
_space_group_IT_number 189
_space_group_name_Hall 'P -6 -2'
_cell_length_a 8.3293
_cell_length_b 8.3293
_cell_length_c 3.9922
_cell_angle_alpha 90.00
_cell_angle_beta 90.00
_cell_angle_gamma 120.00
loop_
_atom_site_label
_atom_site_type_symbol
_atom_site_fract_x
_atom_site_fract_y
_atom_site_fract_z
Y1 Y 0.0000 0.6041 0.0000
Ho1 Ho 0.0000 0.2404 0.5000
Te1 Te 0.3333 0.6667 0.5000
Ir1 Ir 0.0000 0.0000 0.0000
```


[6]
The following is a PBE-GGA calculation of a geometry-optimized Dy2TlCuNi structure, from OQMD.

The structure in CIF format:
```
data_Dy2TlCuNi
_chemical_formula_sum 'Dy4 Tl2 Cu2 Ni2'
_space_group_name_H-M_alt 'A m m 2'
_space_group_IT_number 38
_cell_length_a 3.6976
_cell_length_b 3.9818
_cell_length_c 14.3687
_cell_angle_alpha 90.00
_cell_angle_beta 90.00
_cell_angle_gamma 90.00
loop_
_space_group_symop_operation_xyz
'x,y,z'
'-x,-y,z'
'-x,y,z'
'x,-y,z'
'x,y+1/2,z+1/2'
'-x,-y+1/2,z+1/2'
'-x,y+1/2,z+1/2'
'x,-y+1/2,z+1/2'
loop_
_atom_site_label
_atom_site_type_symbol
_atom_site_fract_x
_atom_site_fract_y
_atom_site_fract_z
Dy1 Dy 0.0000 0.0000 0.0000
Dy2 Dy 0.0000 0.0000 0.2749
Tl1 Tl 0.5000 0.0000 0.6399
Cu1 Cu 0.5000 0.0000 0.4374
Ni1 Ni 0.5000 0.0000 0.8393
```


Summary of E in eV/atom
-5.131; -8.372; -5.964; -3.778; -6.231; -4.574
(order as listed above)